CsCoOs2O8: optimized geometry, PBE with a Hubbard U. Values from VASP.

```
&SYSTEM
  ibrav = 0, nat = 12, ntyp = 4
/
ATOMIC_SPECIES
O 16.00 O.upf
Os 190.23 Os.upf
Co 58.93 Co.upf
Cs 132.91 Cs.upf
CELL_PARAMETERS angstrom
5.492 0.000 0.000
-2.746 4.756 0.000
0.000 0.000 8.776
ATOMIC_POSITIONS angstrom
O 0.000 3.171 7.924
O 3.326 3.195 3.164
O -0.580 1.561 5.612
Os 2.746 1.585 2.632
Co 0.000 0.000 4.388
Os 0.000 3.171 6.145
O 3.850 0.278 3.164
O 1.062 1.283 3.164
O -1.104 4.478 5.612
Cs 0.000 0.000 0.000
O 2.746 1.585 0.852
O 1.684 3.473 5.612
```

Summary:
M_tot, μB/f.u.: 5.32
VASP energy, eV for the cell shown: -80.59